ScAl3Hg (GGA-PBE, optimized geometry); formation enthalpy at 0 K = 4.48 eV/f.u.; volume = 31.14 Å³ per atom; mass density = 3.5 g/cm³; relative energy among the computed polymorphs = 0.266 eV per atom; VASP energy = -2.676 eV per atom
1.0
-4.677 -1.845 1.914
2.095 -4.942 0.354
1.637 1.053 5.015
Al Hg Sc
3 1 1
Direct
0.500 0.000 0.000
0.000 0.000 0.500
0.000 0.500 0.000
0.500 0.500 0.500
0.000 0.000 0.000